1.
Here is a geometry-optimized TcP2Pb structure from Alexandria via LeMat-Bulk. Energies are from PBE.

Cell: 4.405 4.405 6.381 Å, 103.08 103.08 42.62°
Atoms (fractional coordinates):
Tc 0.000 0.000 0.000
P 0.572 0.572 0.284
P 0.708 0.708 0.989
Pb 0.364 0.364 0.588

Properties
Total DFT energy (no corrections) ... -0.4627 Ry/atom

***

2.
Here is a geometry-optimized Rb2PaTiS5 structure from Alexandria via LeMat-Bulk. Energies are from PBE.

Cell: 9.652 9.652 14.176 Å, 90.00 90.00 154.96°
Atoms (fractional coordinates):
Rb 0.115 0.885 0.500
Rb 0.128 0.872 0.153
Rb 0.872 0.128 0.653
Rb 0.885 0.115 0.000
Pa 0.201 0.799 0.849
Pa 0.799 0.201 0.349
Ti 0.438 0.562 0.257
Ti 0.562 0.438 0.757
S 0.051 0.949 0.836
S 0.304 0.696 0.468
S 0.314 0.686 0.223
S 0.332 0.668 0.830
S 0.491 0.509 0.120
S 0.509 0.491 0.620
S 0.668 0.332 0.330
S 0.686 0.314 0.723
S 0.696 0.304 0.968
S 0.949 0.051 0.336

Properties
Energy relative to the elements, uncorrected ... -12.80 eV/f.u.

***

3.
Here is a geometry-optimized Mg2OsAu structure from Alexandria via LeMat-Bulk. Energies are from PBE.

Cell: 2.772 4.356 5.572 Å, 90.00 90.00 90.00°
Atoms (fractional coordinates):
Mg 0.000 0.000 0.000
Mg 0.500 0.500 0.303
Os 0.000 0.000 0.493
Au 0.500 0.500 0.792

Properties
Total DFT energy (no corrections) ... -0.3203 Ry/atom

***

4.
Here is a geometry-optimized ZnTcOs structure from Alexandria via LeMat-Bulk. Energies are from PBE.

Cell: 4.253 4.253 2.731 Å, 90.00 90.00 120.00°
Atoms (fractional coordinates):
Zn 0.000 0.000 0.000
Tc 0.333 0.667 0.624
Os 0.667 0.333 0.218

Properties
Total DFT energy (no corrections) ... -0.5434 Ry/atom

***

5.
Here is a geometry-optimized Ho2Tc structure from Alexandria via LeMat-Bulk. Energies are from PBE.

Cell: 6.624 6.623 3.459 Å, 74.89 74.84 30.27°
Atoms (fractional coordinates):
Ho 0.131 0.131 0.869
Ho 0.869 0.869 0.131
Tc 0.500 0.500 0.500

Properties
Total DFT energy (no corrections) ... -0.4830 Ry/atom

***

6.
Here is a geometry-optimized MnGa2Pd8 structure from Alexandria via LeMat-Bulk. Energies are from PBE.

Cell: 7.141 7.141 6.323 Å, 109.39 109.39 33.49°
Atoms (fractional coordinates):
Mn 0.000 0.000 0.000
Ga 0.284 0.284 0.341
Ga 0.716 0.716 0.659
Pd 0.103 0.103 0.465
Pd 0.177 0.177 0.929
Pd 0.348 0.348 0.785
Pd 0.460 0.460 0.267
Pd 0.540 0.540 0.733
Pd 0.652 0.652 0.215
Pd 0.823 0.823 0.071
Pd 0.897 0.897 0.535

Properties
Total DFT energy (no corrections) ... -0.4086 Ry/atom

***

no.,magnetic moment (μB/cell)
1,0.0
2,2.1
3,0.0
4,0.0
5,0.0
6,4.6